# PBE-GGA Zr4Bi3H, optimized geometry
data_Zr4Bi3H
_chemical_formula_sum 'Zr8 Bi6 H2'
_cell_length_a 3.294
_cell_length_b 9.200
_cell_length_c 12.365
_cell_angle_alpha 90.00
_cell_angle_beta 90.00
_cell_angle_gamma 90.00
_symmetry_space_group_name_H-M 'P 1'
_symmetry_Int_Tables_number 1
loop_
_symmetry_equiv_pos_as_xyz
'x,y,z'
loop_
_atom_site_label
_atom_site_fract_x
_atom_site_fract_y
_atom_site_fract_z
_atom_site_occupancy
Zr1 0.250 0.060 0.201 1
Zr2 0.250 0.250 0.826 1
Zr3 0.250 0.440 0.201 1
Zr4 0.250 0.750 0.584 1
Zr5 0.750 0.250 0.416 1
Zr6 0.750 0.560 0.799 1
Zr7 0.750 0.750 0.174 1
Zr8 0.750 0.940 0.799 1
Bi1 0.250 0.075 0.615 1
Bi2 0.250 0.425 0.615 1
Bi3 0.250 0.750 0.964 1
Bi4 0.750 0.250 0.036 1
Bi5 0.750 0.575 0.385 1
Bi6 0.750 0.925 0.385 1
H1 0.250 0.250 0.306 1
H2 0.750 0.750 0.694 1
# crystal system: orthorhombic
# E_tot: -6.240 eV/atom
# space group: Pmmn
# V: 23.42 Å³/atom

# PBE-GGA Hf2Bi, optimized geometry
data_Hf2Bi
_chemical_formula_sum 'Hf4 Bi2'
_cell_length_a 4.277
_cell_length_b 4.427
_cell_length_c 7.804
_cell_angle_alpha 97.15
_cell_angle_beta 105.88
_cell_angle_gamma 90.00
_symmetry_space_group_name_H-M 'P 1'
_symmetry_Int_Tables_number 1
loop_
_symmetry_equiv_pos_as_xyz
'x,y,z'
loop_
_atom_site_label
_atom_site_fract_x
_atom_site_fract_y
_atom_site_fract_z
_atom_site_occupancy
Hf1 0.000 0.000 0.000 1
Hf2 0.162 0.558 0.325 1
Hf3 0.500 0.500 0.000 1
Hf4 0.838 0.442 0.675 1
Bi1 0.350 0.936 0.699 1
Bi2 0.650 0.064 0.301 1
# crystal system: triclinic
# E_tot: -8.013 eV/atom
# DFT formation energy: -0.084 eV per atom
# space group: P-1
# V: 23.49 Å³/atom

# PBE-GGA Hf7Bi, optimized geometry
data_Hf7Bi
_chemical_formula_sum 'Hf14 Bi2'
_cell_length_a 4.411
_cell_length_b 4.411
_cell_length_c 18.699
_cell_angle_alpha 90.00
_cell_angle_beta 90.00
_cell_angle_gamma 90.00
_symmetry_space_group_name_H-M 'P 1'
_symmetry_Int_Tables_number 1
loop_
_symmetry_equiv_pos_as_xyz
'x,y,z'
loop_
_atom_site_label
_atom_site_fract_x
_atom_site_fract_y
_atom_site_fract_z
_atom_site_occupancy
Hf1 0.000 0.000 0.000 1
Hf2 0.000 0.000 0.252 1
Hf3 0.000 0.000 0.748 1
Hf4 0.000 0.500 0.131 1
Hf5 0.000 0.500 0.369 1
Hf6 0.000 0.500 0.631 1
Hf7 0.000 0.500 0.869 1
Hf8 0.500 0.000 0.131 1
Hf9 0.500 0.000 0.369 1
Hf10 0.500 0.000 0.631 1
Hf11 0.500 0.000 0.869 1
Hf12 0.500 0.500 0.248 1
Hf13 0.500 0.500 0.500 1
Hf14 0.500 0.500 0.752 1
Bi1 0.000 0.000 0.500 1
Bi2 0.500 0.500 0.000 1
# crystal system: tetragonal
# E_tot: -9.201 eV/atom
# DFT formation energy: -0.007 eV per atom
# space group: I4/mmm
# V: 22.74 Å³/atom

# PBE-GGA Hf5Bi, optimized geometry
data_Hf5Bi
_chemical_formula_sum 'Hf10 Bi2'
_cell_length_a 4.382
_cell_length_b 14.232
_cell_length_c 4.376
_cell_angle_alpha 90.00
_cell_angle_beta 90.00
_cell_angle_gamma 90.00
_symmetry_space_group_name_H-M 'P 1'
_symmetry_Int_Tables_number 1
loop_
_symmetry_equiv_pos_as_xyz
'x,y,z'
loop_
_atom_site_label
_atom_site_fract_x
_atom_site_fract_y
_atom_site_fract_z
_atom_site_occupancy
Hf1 0.000 0.000 0.000 1
Hf2 0.000 0.173 0.500 1
Hf3 0.000 0.329 0.000 1
Hf4 0.000 0.671 0.000 1
Hf5 0.000 0.827 0.500 1
Hf6 0.500 0.171 0.000 1
Hf7 0.500 0.327 0.500 1
Hf8 0.500 0.500 0.000 1
Hf9 0.500 0.673 0.500 1
Hf10 0.500 0.829 0.000 1
Bi1 0.000 0.500 0.500 1
Bi2 0.500 0.000 0.500 1
# crystal system: orthorhombic
# E_tot: -8.975 eV/atom
# DFT formation energy: -0.034 eV per atom
# space group: Cmmm
# V: 22.74 Å³/atom

# PBE-GGA HfBi3, optimized geometry
data_HfBi3
_chemical_formula_sum 'Hf2 Bi6'
_cell_length_a 4.632
_cell_length_b 4.632
_cell_length_c 10.533
_cell_angle_alpha 90.00
_cell_angle_beta 90.00
_cell_angle_gamma 90.00
_symmetry_space_group_name_H-M 'P 1'
_symmetry_Int_Tables_number 1
loop_
_symmetry_equiv_pos_as_xyz
'x,y,z'
loop_
_atom_site_label
_atom_site_fract_x
_atom_site_fract_y
_atom_site_fract_z
_atom_site_occupancy
Hf1 0.000 0.000 0.000 1
Hf2 0.500 0.500 0.500 1
Bi1 0.000 0.000 0.500 1
Bi2 0.000 0.500 0.250 1
Bi3 0.000 0.500 0.750 1
Bi4 0.500 0.000 0.250 1
Bi5 0.500 0.000 0.750 1
Bi6 0.500 0.500 0.000 1
# crystal system: tetragonal
# E_tot: -5.209 eV/atom
# DFT formation energy: 0.190 eV per atom
# space group: I4/mmm
# V: 28.25 Å³/atom

# PBE-GGA Hf7Bi5, optimized geometry
data_Hf7Bi5
_chemical_formula_sum 'Hf7 Bi5'
_cell_length_a 7.583
_cell_length_b 7.583
_cell_length_c 10.853
_cell_angle_alpha 111.48
_cell_angle_beta 111.48
_cell_angle_gamma 30.30
_symmetry_space_group_name_H-M 'P 1'
_symmetry_Int_Tables_number 1
loop_
_symmetry_equiv_pos_as_xyz
'x,y,z'
loop_
_atom_site_label
_atom_site_fract_x
_atom_site_fract_y
_atom_site_fract_z
_atom_site_occupancy
Hf1 0.000 0.000 0.000 1
Hf2 0.087 0.087 0.750 1
Hf3 0.162 0.162 0.494 1
Hf4 0.422 0.422 0.748 1
Hf5 0.578 0.578 0.252 1
Hf6 0.838 0.838 0.505 1
Hf7 0.913 0.913 0.250 1
Bi1 0.246 0.246 0.273 1
Bi2 0.357 0.357 0.022 1
Bi3 0.500 0.500 0.500 1
Bi4 0.643 0.643 0.978 1
Bi5 0.754 0.754 0.727 1
# crystal system: monoclinic
# E_tot: -7.529 eV/atom
# DFT formation energy: -0.106 eV per atom
# space group: C2/m
# V: 24.28 Å³/atom

# PBE-GGA HfBi3, optimized geometry
data_HfBi3
_chemical_formula_sum 'Hf1 Bi3'
_cell_length_a 3.498
_cell_length_b 4.180
_cell_length_c 8.284
_cell_angle_alpha 90.00
_cell_angle_beta 90.00
_cell_angle_gamma 90.00
_symmetry_space_group_name_H-M 'P 1'
_symmetry_Int_Tables_number 1
loop_
_symmetry_equiv_pos_as_xyz
'x,y,z'
loop_
_atom_site_label
_atom_site_fract_x
_atom_site_fract_y
_atom_site_fract_z
_atom_site_occupancy
Hf1 0.000 0.000 0.000 1
Bi1 0.000 0.500 0.265 1
Bi2 0.500 0.000 0.534 1
Bi3 0.500 0.500 0.831 1
# crystal system: orthorhombic
# E_tot: -5.205 eV/atom
# DFT formation energy: 0.194 eV per atom
# space group: Pmm2
# V: 30.28 Å³/atom

# PBE-GGA Hf2Bi, optimized geometry
data_Hf2Bi
_chemical_formula_sum 'Hf8 Bi4'
_cell_length_a 10.972
_cell_length_b 3.867
_cell_length_c 7.356
_cell_angle_alpha 90.00
_cell_angle_beta 113.78
_cell_angle_gamma 90.00
_symmetry_space_group_name_H-M 'P 1'
_symmetry_Int_Tables_number 1
loop_
_symmetry_equiv_pos_as_xyz
'x,y,z'
loop_
_atom_site_label
_atom_site_fract_x
_atom_site_fract_y
_atom_site_fract_z
_atom_site_occupancy
Hf1 0.017 0.000 0.270 1
Hf2 0.150 0.500 0.053 1
Hf3 0.350 0.000 0.947 1
Hf4 0.483 0.500 0.730 1
Hf5 0.517 0.500 0.270 1
Hf6 0.650 0.000 0.053 1
Hf7 0.850 0.500 0.947 1
Hf8 0.983 0.000 0.730 1
Bi1 0.170 0.500 0.631 1
Bi2 0.330 0.000 0.369 1
Bi3 0.670 0.000 0.631 1
Bi4 0.830 0.500 0.369 1
# crystal system: monoclinic
# E_tot: -8.087 eV/atom
# DFT formation energy: -0.158 eV per atom
# space group: C2/m
# V: 23.80 Å³/atom

# PBE-GGA Hf5Bi, optimized geometry
data_Hf5Bi
_chemical_formula_sum 'Hf10 Bi2'
_cell_length_a 11.576
_cell_length_b 3.268
_cell_length_c 7.555
_cell_angle_alpha 90.00
_cell_angle_beta 105.04
_cell_angle_gamma 90.00
_symmetry_space_group_name_H-M 'P 1'
_symmetry_Int_Tables_number 1
loop_
_symmetry_equiv_pos_as_xyz
'x,y,z'
loop_
_atom_site_label
_atom_site_fract_x
_atom_site_fract_y
_atom_site_fract_z
_atom_site_occupancy
Hf1 0.000 0.000 0.000 1
Hf2 0.040 0.000 0.598 1
Hf3 0.157 0.500 0.333 1
Hf4 0.325 0.000 0.654 1
Hf5 0.381 0.000 0.271 1
Hf6 0.500 0.500 0.000 1
Hf7 0.540 0.500 0.598 1
Hf8 0.657 0.000 0.333 1
Hf9 0.825 0.500 0.654 1
Hf10 0.881 0.500 0.271 1
Bi1 0.218 0.500 0.936 1
Bi2 0.718 0.000 0.936 1
# crystal system: monoclinic
# E_tot: -8.927 eV/atom
# DFT formation energy: 0.014 eV per atom
# space group: Cm
# V: 23.00 Å³/atom

# PBE-GGA Hf5Bi2, optimized geometry
data_Hf5Bi2
_chemical_formula_sum 'Hf10 Bi4'
_cell_length_a 8.392
_cell_length_b 8.392
_cell_length_c 7.528
_cell_angle_alpha 91.99
_cell_angle_beta 91.99
_cell_angle_gamma 38.79
_symmetry_space_group_name_H-M 'P 1'
_symmetry_Int_Tables_number 1
loop_
_symmetry_equiv_pos_as_xyz
'x,y,z'
loop_
_atom_site_label
_atom_site_fract_x
_atom_site_fract_y
_atom_site_fract_z
_atom_site_occupancy
Hf1 0.007 0.291 0.970 1
Hf2 0.131 0.431 0.679 1
Hf3 0.135 0.865 0.750 1
Hf4 0.291 0.007 0.470 1
Hf5 0.431 0.131 0.179 1
Hf6 0.569 0.869 0.821 1
Hf7 0.709 0.993 0.530 1
Hf8 0.865 0.135 0.250 1
Hf9 0.869 0.569 0.321 1
Hf10 0.993 0.709 0.030 1
Bi1 0.255 0.573 0.391 1
Bi2 0.427 0.745 0.109 1
Bi3 0.573 0.255 0.891 1
Bi4 0.745 0.427 0.609 1
# crystal system: monoclinic
# E_tot: -8.232 eV/atom
# DFT formation energy: -0.013 eV per atom
# space group: C2/c
# V: 23.70 Å³/atom

# PBE-GGA Hf2Bi3, optimized geometry
data_Hf2Bi3
_chemical_formula_sum 'Hf4 Bi6'
_cell_length_a 8.118
_cell_length_b 8.118
_cell_length_c 8.118
_cell_angle_alpha 51.69
_cell_angle_beta 51.69
_cell_angle_gamma 51.69
_symmetry_space_group_name_H-M 'P 1'
_symmetry_Int_Tables_number 1
loop_
_symmetry_equiv_pos_as_xyz
'x,y,z'
loop_
_atom_site_label
_atom_site_fract_x
_atom_site_fract_y
_atom_site_fract_z
_atom_site_occupancy
Hf1 0.175 0.175 0.175 1
Hf2 0.325 0.325 0.325 1
Hf3 0.675 0.675 0.675 1
Hf4 0.825 0.825 0.825 1
Bi1 0.115 0.750 0.385 1
Bi2 0.250 0.615 0.885 1
Bi3 0.385 0.115 0.750 1
Bi4 0.615 0.885 0.250 1
Bi5 0.750 0.385 0.115 1
Bi6 0.885 0.250 0.615 1
# crystal system: trigonal
# E_tot: -6.258 eV/atom
# DFT formation energy: 0.052 eV per atom
# space group: R-3c
# V: 30.43 Å³/atom

# PBE-GGA Hf3Bi2, optimized geometry
data_Hf3Bi2
_chemical_formula_sum 'Hf9 Bi6'
_cell_length_a 7.755
_cell_length_b 7.755
_cell_length_c 7.755
_cell_angle_alpha 65.61
_cell_angle_beta 65.61
_cell_angle_gamma 65.61
_symmetry_space_group_name_H-M 'P 1'
_symmetry_Int_Tables_number 1
loop_
_symmetry_equiv_pos_as_xyz
'x,y,z'
loop_
_atom_site_label
_atom_site_fract_x
_atom_site_fract_y
_atom_site_fract_z
_atom_site_occupancy
Hf1 0.000 0.000 0.000 1
Hf2 0.159 0.159 0.159 1
Hf3 0.212 0.424 0.667 1
Hf4 0.333 0.788 0.576 1
Hf5 0.424 0.667 0.212 1
Hf6 0.576 0.333 0.788 1
Hf7 0.667 0.212 0.424 1
Hf8 0.788 0.576 0.333 1
Hf9 0.841 0.841 0.841 1
Bi1 0.019 0.199 0.566 1
Bi2 0.199 0.566 0.019 1
Bi3 0.434 0.981 0.801 1
Bi4 0.566 0.019 0.199 1
Bi5 0.801 0.434 0.981 1
Bi6 0.981 0.801 0.434 1
# crystal system: trigonal
# E_tot: -7.603 eV/atom
# DFT formation energy: -0.078 eV per atom
# space group: R-3
# V: 24.67 Å³/atom

Look up the V of the ninth one. 23.00 Å³/atom

Repeat the eighth record exactly.
# PBE-GGA Hf2Bi, optimized geometry
data_Hf2Bi
_chemical_formula_sum 'Hf8 Bi4'
_cell_length_a 10.972
_cell_length_b 3.867
_cell_length_c 7.356
_cell_angle_alpha 90.00
_cell_angle_beta 113.78
_cell_angle_gamma 90.00
_symmetry_space_group_name_H-M 'P 1'
_symmetry_Int_Tables_number 1
loop_
_symmetry_equiv_pos_as_xyz
'x,y,z'
loop_
_atom_site_label
_atom_site_fract_x
_atom_site_fract_y
_atom_site_fract_z
_atom_site_occupancy
Hf1 0.017 0.000 0.270 1
Hf2 0.150 0.500 0.053 1
Hf3 0.350 0.000 0.947 1
Hf4 0.483 0.500 0.730 1
Hf5 0.517 0.500 0.270 1
Hf6 0.650 0.000 0.053 1
Hf7 0.850 0.500 0.947 1
Hf8 0.983 0.000 0.730 1
Bi1 0.170 0.500 0.631 1
Bi2 0.330 0.000 0.369 1
Bi3 0.670 0.000 0.631 1
Bi4 0.830 0.500 0.369 1
# crystal system: monoclinic
# E_tot: -8.087 eV/atom
# DFT formation energy: -0.158 eV per atom
# space group: C2/m
# V: 23.80 Å³/atom

The lowest E_tot belongs to which entry? Hf7Bi